Here is HoIn3C3 after structural relaxation from the Open Quantum Materials Database. Energies are from PBE-GGA.

Cell lengths 3.7323, 3.7323, 19.0590 Å; angles 90.00, 90.00, 120.00 degrees
With the nearest neighbours (Å) after each atom.
Positions (direct):
In (0.3333, 0.6667, 0.3763)  4 C 2.34-2.41
In (0.6667, 0.3333, 0.8763)  4 C 2.34-2.41
In (0.3333, 0.6667, 0.7500)  3 C 2.15
In (0.3333, 0.6667, 0.1237)  4 C 2.34-2.41
In (0.6667, 0.3333, 0.2500)  3 C 2.15
In (0.6667, 0.3333, 0.6237)  4 C 2.34-2.41
Ho (0.0000, 0.0000, 0.5000)  6 C 2.59
Ho (0.0000, 0.0000, 0.0000)  6 C 2.59
C (0.6667, 0.3333, 0.0754)  3 In 2.34, 3 Ho 2.59
C (0.3333, 0.6667, 0.5754)  3 In 2.34, 3 Ho 2.59
C (0.6667, 0.3333, 0.4246)  3 In 2.34, 3 Ho 2.59
C (0.6667, 0.3333, 0.7500)  5 In 2.15-2.41
C (0.3333, 0.6667, 0.9246)  3 In 2.34, 3 Ho 2.59
C (0.3333, 0.6667, 0.2500)  5 In 2.15-2.41

Here is KHo4InC2 after structural relaxation from the Open Quantum Materials Database. Energies are from PBE-GGA.

Cell lengths 3.6181, 3.6181, 18.2371 Å; angles 90.00, 90.00, 120.00 degrees
With the nearest neighbours (Å) after each atom.
Positions (direct):
Ho (0.3333, 0.6667, 0.2895)  3 C 2.42
Ho (0.0000, 0.0000, 0.8559)  3 C 2.54
Ho (0.3333, 0.6667, 0.7105)  3 C 2.42
Ho (0.0000, 0.0000, 0.1441)  3 C 2.54
K (0.0000, 0.0000, 0.5000)  6 K 3.62
In (0.3333, 0.6667, 0.0000)  6 Ho 3.36, 6 In 3.62
C (0.6667, 0.3333, 0.2230)  6 Ho 2.42-2.54
C (0.6667, 0.3333, 0.7770)  6 Ho 2.42-2.54

Here is HoInPtC after structural relaxation from the Open Quantum Materials Database. Energies are from PBE-GGA.

Summary:
The value obtained for the energy above the most stable polymorph in this dataset is 0.00 eV/f.u.

Cell lengths 4.1932, 4.1932, 10.6399 Å; angles 90.00, 90.00, 120.00 degrees
With the nearest neighbours (Å) after each atom.
Positions (direct):
Pt (0.3333, 0.6667, 0.8606)  3 In 2.75, 3 Ho 2.84, 1 Pt 2.97
Pt (0.3333, 0.6667, 0.1394)  3 In 2.75, 3 Ho 2.84, 1 Pt 2.97
C (0.6667, 0.3333, 0.5622)  1 C 1.32
C (0.6667, 0.3333, 0.4378)  1 C 1.32
Ho (0.6667, 0.3333, 0.0000)  6 Pt 2.84
Ho (0.3333, 0.6667, 0.5000)  6 C 2.51
In (0.0000, 0.0000, 0.7373)  3 Pt 2.75, 3 C 3.05
In (0.0000, 0.0000, 0.2627)  3 Pt 2.75, 3 C 3.05

Here is HoInPtC after structural relaxation from the Open Quantum Materials Database. Energies are from PBE-GGA.

Summary:
The value obtained for the energy above the most stable polymorph in this dataset is 0.38 eV/f.u.

Cell lengths 4.5609, 4.5609, 7.8093 Å; angles 90.00, 90.00, 120.00 degrees
With the nearest neighbours (Å) after each atom.
Positions (direct):
C (0.3333, 0.6667, 0.3705)  1 Pt 2.03
C (0.6667, 0.3333, 0.6295)  1 Pt 2.03
Ho (0.6667, 0.3333, 0.3153)  4 C 2.45-2.67
Ho (0.3333, 0.6667, 0.6847)  4 C 2.45-2.67
In (0.0000, 0.0000, 0.0000)  6 Pt 2.77
In (0.0000, 0.0000, 0.5000)  6 C 2.82, 6 Ho 3.00
Pt (0.6667, 0.3333, 0.8896)  1 C 2.03
Pt (0.3333, 0.6667, 0.1104)  1 C 2.03

Here is HoInPtC after structural relaxation from the Open Quantum Materials Database. Energies are from PBE-GGA.

Summary:
The value obtained for the energy above the most stable polymorph in this dataset is 0.54 eV/f.u.

Cell lengths 4.0980, 4.0980, 11.4518 Å; angles 90.00, 90.00, 120.00 degrees
With the nearest neighbours (Å) after each atom.
Positions (direct):
Pt (0.3333, 0.6667, 0.1269)  1 C 1.95
Pt (0.6667, 0.3333, 0.6269)  1 C 1.95
Ho (0.6667, 0.3333, 0.3125)  3 C 2.37
Ho (0.3333, 0.6667, 0.8125)  3 C 2.37
C (0.6667, 0.3333, 0.7971)  1 Pt 1.95
C (0.3333, 0.6667, 0.2971)  1 Pt 1.95
In (0.0000, 0.0000, 0.0135)  3 Pt 2.70
In (0.0000, 0.0000, 0.5135)  3 Pt 2.70

Here is Ho4InC2S after structural relaxation from the Open Quantum Materials Database. Energies are from PBE-GGA.

Cell lengths 3.6376, 3.6376, 14.5752 Å; angles 90.00, 90.00, 120.00 degrees
With the nearest neighbours (Å) after each atom.
Positions (direct):
Ho (0.3333, 0.6667, 0.6886)  3 C 2.47
Ho (0.3333, 0.6667, 0.3114)  3 C 2.47
Ho (0.6667, 0.3333, 0.1284)  3 C 2.50
Ho (0.6667, 0.3333, 0.8716)  3 C 2.50
C (0.0000, 0.0000, 0.2217)  6 Ho 2.47-2.50
C (0.0000, 0.0000, 0.7783)  6 Ho 2.47-2.50
S (0.3333, 0.6667, 0.0000)  6 Ho 2.81
In (0.6667, 0.3333, 0.5000)  6 Ho 3.46, 6 In 3.64

Number 1: size of the total moment 0.00 Bohr magnetons per cell, total DFT energy (no corrections) -5.2441 eV per atom. Number 2: size of the total moment 0.01 Bohr magnetons per cell, total DFT energy (no corrections) -5.3169 eV per atom. Number 3: size of the total moment 0.00 Bohr magnetons per cell, total DFT energy (no corrections) -5.8368 eV per atom. Number 4: size of the total moment 0.01 Bohr magnetons per cell, total DFT energy (no corrections) -5.7406 eV per atom. Number 5: size of the total moment 0.00 Bohr magnetons per cell, total DFT energy (no corrections) -5.7016 eV per atom. Number 6: size of the total moment 0.27 Bohr magnetons per cell, total DFT energy (no corrections) -6.2879 eV per atom.